1.
Here is crystalline Li2AgSb at its relaxed geometry from Alexandria. Energies are from PBEsol.

Crystal system: tetragonal
E_form (uncorrected) in kJ per mole of atoms: -14.0

a = 7.526 Å, b = 7.526 Å, c = 5.504 Å
α = 90.00°, β = 90.00°, γ = 90.00°
Space group I-42d (No. 122)
One atom of each set of equivalent atoms:
Li: 0.237 0.750 0.125 [8 per cell]
Ag: 0.000 0.000 0.000 [4 per cell]
Sb: 0.000 0.000 0.500 [4 per cell]

***

2.
Here is crystalline CrAgRh at its relaxed geometry from Alexandria. Energies are from PBEsol.

E above lowest polymorph in eV/atom: 0.1320
Formation energy in eV/atom: 0.38
Crystal system: orthorhombic

a = 2.764 Å, b = 4.441 Å, c = 13.694 Å
α = 90.00°, β = 90.00°, γ = 90.00°
Space group Fmm2 (No. 42)
One atom of each set of equivalent atoms:
Cr: 0.000 0.000 0.000 [4 per cell]
Ag: 0.000 0.000 0.327 [4 per cell]
Rh: 0.000 0.000 0.647 [4 per cell]

***

3.
Here is crystalline SrAlFe2 at its relaxed geometry from Alexandria. Energies are from PBEsol.

Formation energy in eV/atom: 0.72
Crystal system: orthorhombic

a = 6.726 Å, b = 6.740 Å, c = 2.928 Å
α = 90.00°, β = 90.00°, γ = 90.00°
Space group Cmmm (No. 65)
One atom of each set of equivalent atoms:
Sr: 0.000 0.000 0.000 [2 per cell]
Al: 0.000 0.500 0.000 [2 per cell]
Fe: 0.250 0.250 0.500 [4 per cell]

***

4.
Here is crystalline AgGePCl2 at its relaxed geometry from Alexandria. Energies are from PBEsol.

E above lowest polymorph in eV/atom: 0.1518
Crystal system: tetragonal
E_form (uncorrected) in kJ per mole of atoms: 43.4

a = 4.773 Å, b = 4.773 Å, c = 4.966 Å
α = 90.00°, β = 90.00°, γ = 90.00°
Space group P4/mmm (No. 123)
One atom of each set of equivalent atoms:
Ag: 0.000 0.000 0.000 [1 per cell]
Ge: 0.500 0.500 0.500 [1 per cell]
P: 0.000 0.000 0.500 [1 per cell]
Cl: 0.000 0.500 0.000 [2 per cell]

***

5.
Here is crystalline LiGa2Pd2 at its relaxed geometry from Alexandria. Energies are from PBEsol.

Formation energy in eV/atom: -0.63
Crystal system: tetragonal

a = 7.291 Å, b = 7.291 Å, c = 2.842 Å
α = 90.00°, β = 90.00°, γ = 90.00°
Space group P4/mbm (No. 127)
One atom of each set of equivalent atoms:
Li: 0.000 0.000 0.000 [2 per cell]
Ga: 0.154 0.346 0.500 [4 per cell]
Pd: 0.144 0.644 0.000 [4 per cell]

***

6.
Here is crystalline La6Mn9Al5 at its relaxed geometry from Alexandria. Energies are from PBEsol.

Formation energy in eV/atom: -0.13
Crystal system: tetragonal

a = 8.179 Å, b = 8.179 Å, c = 23.371 Å
α = 90.00°, β = 90.00°, γ = 90.00°
Space group I4/mcm (No. 140)
One atom of each set of equivalent atoms:
La: 0.000 0.000 0.106 [8 per cell]
La: 0.175 0.325 0.189 [16 per cell]
Mn: 0.000 0.500 0.000 [4 per cell]
Mn: 0.073 0.215 0.500 [16 per cell]
Mn: 0.177 0.323 0.052 [16 per cell]
Al: 0.000 0.000 0.250 [4 per cell]
Al: 0.117 0.383 0.406 [16 per cell]

***

7.
Here is crystalline Ca2CuOsF at its relaxed geometry from Alexandria. Energies are from PBEsol.

Crystal system: tetragonal
E_form (uncorrected) in kJ per mole of atoms: 27.8

a = 5.403 Å, b = 5.403 Å, c = 3.554 Å
α = 90.00°, β = 90.00°, γ = 90.00°
Space group P4/mmm (No. 123)
One atom of each set of equivalent atoms:
Ca: 0.000 0.500 0.000 [2 per cell]
Cu: 0.000 0.000 0.000 [1 per cell]
Os: 0.500 0.500 0.500 [1 per cell]
F: 0.000 0.000 0.500 [1 per cell]

***

8.
Here is crystalline AsIr2Se at its relaxed geometry from Alexandria. Energies are from PBEsol.

E above lowest polymorph in eV/atom: 0.3217
Crystal system: orthorhombic
E_form (uncorrected) in kJ per mole of atoms: 35.0

a = 5.961 Å, b = 6.840 Å, c = 2.998 Å
α = 90.00°, β = 90.00°, γ = 90.00°
Space group Cmmm (No. 65)
One atom of each set of equivalent atoms:
As: 0.000 0.000 0.000 [2 per cell]
Ir: 0.250 0.250 0.500 [4 per cell]
Se: 0.000 0.500 0.000 [2 per cell]

***

9.
Here is crystalline TeIrRh2 at its relaxed geometry from Alexandria. Energies are from PBEsol.

Crystal system: monoclinic
E_form (uncorrected) in kJ per mole of atoms: 18.3

a = 4.621 Å, b = 3.008 Å, c = 4.697 Å
α = 90.00°, β = 108.27°, γ = 90.00°
Space group P2/m (No. 10)
One atom of each set of equivalent atoms:
Te: 0.000 0.000 0.000 [1 per cell]
Ir: 0.000 0.500 0.500 [1 per cell]
Rh: 0.500 0.000 0.500 [1 per cell]
Rh: 0.500 0.500 0.000 [1 per cell]

***

10.
Here is crystalline MnF4 at its relaxed geometry from Alexandria. Energies are from PBEsol.

Crystal system: orthorhombic
E_form (uncorrected) in kJ per mole of atoms: -206.2

a = 4.685 Å, b = 9.139 Å, c = 2.892 Å
α = 90.00°, β = 90.00°, γ = 90.00°
Space group Pbam (No. 55)
One atom of each set of equivalent atoms:
Mn: 0.000 0.000 0.000 [2 per cell]
F: 0.170 0.098 0.500 [4 per cell]
F: 0.221 0.373 0.000 [4 per cell]

***

11.
Here is crystalline TcMo2W at its relaxed geometry from Alexandria. Energies are from PBEsol.

E above lowest polymorph in eV/atom: 0.0191
Formation energy in eV/atom: 0.05
Crystal system: monoclinic

a = 5.368 Å, b = 8.801 Å, c = 2.710 Å
α = 90.00°, β = 109.47°, γ = 90.00°
Space group C2/m (No. 12)
One atom of each set of equivalent atoms:
Tc: 0.000 0.000 0.000 [2 per cell]
Mo: 0.250 0.250 0.500 [4 per cell]
W: 0.000 0.500 0.000 [2 per cell]

***

12.
Here is crystalline MnAgPb at its relaxed geometry from Alexandria. Energies are from PBEsol.

Formation energy in eV/atom: 0.43
Crystal system: tetragonal

a = 3.220 Å, b = 3.220 Å, c = 11.345 Å
α = 90.00°, β = 90.00°, γ = 90.00°
Space group I4mm (No. 107)
One atom of each set of equivalent atoms:
Mn: 0.000 0.000 0.000 [2 per cell]
Ag: 0.000 0.000 0.367 [2 per cell]
Pb: 0.000 0.000 0.675 [2 per cell]

***

What did the fourth record say?
Here is crystalline AgGePCl2 at its relaxed geometry from Alexandria. Energies are from PBEsol.

E above lowest polymorph in eV/atom: 0.1518
Crystal system: tetragonal
E_form (uncorrected) in kJ per mole of atoms: 43.4

a = 4.773 Å, b = 4.773 Å, c = 4.966 Å
α = 90.00°, β = 90.00°, γ = 90.00°
Space group P4/mmm (No. 123)
One atom of each set of equivalent atoms:
Ag: 0.000 0.000 0.000 [1 per cell]
Ge: 0.500 0.500 0.500 [1 per cell]
P: 0.000 0.000 0.500 [1 per cell]
Cl: 0.000 0.500 0.000 [2 per cell]

***

Repeat the eighth record exactly.
Here is crystalline AsIr2Se at its relaxed geometry from Alexandria. Energies are from PBEsol.

E above lowest polymorph in eV/atom: 0.3217
Crystal system: orthorhombic
E_form (uncorrected) in kJ per mole of atoms: 35.0

a = 5.961 Å, b = 6.840 Å, c = 2.998 Å
α = 90.00°, β = 90.00°, γ = 90.00°
Space group Cmmm (No. 65)
One atom of each set of equivalent atoms:
As: 0.000 0.000 0.000 [2 per cell]
Ir: 0.250 0.250 0.500 [4 per cell]
Se: 0.000 0.500 0.000 [2 per cell]